Material: BaLi2Os
Method: DFT, PBE-GGA
State: relaxed

Unit cell a=4.1318 b=4.4742 c=4.4742 alpha=90.00 beta=90.00 gamma=90.00
Closest atoms and distances in Å follow each position.
Sites, in units of the cell vectors:
Ba (0.5000, 0.0000, 0.5000)  8 Li 3.05, 4 Os 3.16
Li (0.0000, 0.0000, 0.0000)  4 Ba 3.05, 4 Os 3.05, 4 Li 3.16
Li (0.0000, 0.5000, 0.5000)  4 Ba 3.05, 4 Os 3.05, 4 Li 3.16
Os (0.5000, 0.5000, 0.0000)  8 Li 3.05, 4 Ba 3.16

Summary:
space group = P4/mmm (123)
DFT formation energy = 3.11 eV/f.u.
calculated density = 6.85 g/cm³
M_tot = 0.68 μB/f.u.
polymorph energy (0 for the lowest one) = 0.72 eV per formula unit

Material: CdGeOs2
Method: DFT, PBE-GGA
State: relaxed

Unit cell a=4.0935 b=4.0935 c=9.5864 alpha=77.67 beta=77.67 gamma=90.00
Closest atoms and distances in Å follow each position.
Sites, in units of the cell vectors:
Ge (0.5000, 0.5000, 0.0000)  4 Os 2.58
Ge (0.2500, 0.7500, 0.5000)  4 Os 2.58
Os (0.5287, 0.1250, 0.2500)  2 Os 2.40, 2 Ge 2.58
Os (0.2213, 0.6250, 0.2500)  2 Os 2.40, 2 Ge 2.58
Os (0.3750, 0.4713, 0.7500)  2 Os 2.40, 2 Ge 2.58
Os (0.8750, 0.7787, 0.7500)  2 Os 2.40, 2 Ge 2.58
Cd (0.0000, 0.0000, 0.0000)  4 Os 2.88, 4 Ge 2.89
Cd (0.7500, 0.2500, 0.5000)  4 Os 2.88, 4 Ge 2.89

Summary:
space group = I-42d (122)
DFT formation energy = 3.38 eV/f.u.
calculated density = 12.26 g/cm³
M_tot = 0.00 μB/f.u.
polymorph energy (0 for the lowest one) = 0.71 eV per formula unit

Material: CoBr
Method: DFT, PBE-GGA
State: relaxed

Unit cell a=10.7179 b=6.0737 c=3.8041 alpha=90.00 beta=90.00 gamma=90.00
Closest atoms and distances in Å follow each position.
Sites, in units of the cell vectors:
Co (0.3142, 0.4953, 0.0000)  3 Co 2.35-2.49, 2 Br 2.44-2.45
Co (0.8142, 0.5047, 0.5000)  3 Co 2.35-2.49, 2 Br 2.44-2.45
Co (0.1858, 0.5047, 0.5000)  3 Co 2.35-2.49, 2 Br 2.44-2.45
Co (0.6858, 0.4953, 0.0000)  3 Co 2.35-2.49, 2 Br 2.44-2.45
Co (0.0000, 0.2587, 0.5000)  2 Co 2.49, 4 Br 2.55
Co (0.5000, 0.7413, 0.0000)  2 Co 2.49, 4 Br 2.55
Br (0.8438, 0.2059, 0.0000)  5 Co 2.44-2.65
Br (0.3438, 0.7941, 0.5000)  5 Co 2.44-2.65
Br (0.6562, 0.7941, 0.5000)  5 Co 2.44-2.65
Br (0.1562, 0.2059, 0.0000)  5 Co 2.44-2.65
Br (0.0000, 0.7393, 0.5000)  2 Co 2.45
Br (0.5000, 0.2607, 0.0000)  2 Co 2.45

Summary:
E_form (uncorrected) = 0.13 eV/atom
space group = Pmmn (59)
calculated density = 5.59 g/cm³
M_tot = 2.00 μB/f.u.
polymorph energy (0 for the lowest one) = 0.49 eV per formula unit

Material: LiHgH2
Method: DFT, PBE-GGA
State: relaxed

Unit cell a=3.9788 b=3.9788 c=3.9788 alpha=60.00 beta=60.00 gamma=60.00
Closest atoms and distances in Å follow each position.
Sites, in units of the cell vectors:
H (0.2500, 0.2500, 0.2500)  4 Hg 2.44, 4 Li 2.44
H (0.7500, 0.7500, 0.7500)  4 Hg 2.44, 4 Li 2.44
Hg (0.5000, 0.5000, 0.5000)  8 H 2.44
Li (0.0000, 0.0000, 0.0000)  8 H 2.44

Summary:
space group = Fm-3m (225)
calculated density = 7.81 g/cm³
M_tot = 0.00 μB/f.u.
polymorph energy (0 for the lowest one) = 0.59 eV per formula unit

Material: PaTiNb
Method: DFT, PBE-GGA
State: relaxed

Unit cell a=3.0537 b=3.0537 c=14.5014 alpha=91.20 beta=91.20 gamma=63.04
Closest atoms and distances in Å follow each position.
Sites, in units of the cell vectors:
Pa (0.7496, 0.7496, 0.6538)  8 Pa 3.05-3.31, 3 Ti 3.08-3.19
Pa (0.3866, 0.3866, 0.8489)  8 Pa 3.05-3.31, 3 Ti 3.08-3.18
Ti (0.3686, 0.3686, 0.4785)  2 Nb 2.73, 4 Ti 3.05
Ti (0.7671, 0.7671, 0.0242)  2 Nb 2.73, 4 Ti 3.05
Nb (0.3114, 0.3114, 0.1767)  2 Nb 2.69, 2 Ti 2.73
Nb (0.8240, 0.8240, 0.3261)  2 Nb 2.69, 2 Ti 2.73

Summary:
space group = C2/m (12)
DFT formation energy = 0.18 eV/f.u.
calculated density = 10.25 g/cm³
M_tot = 0.00 μB/f.u.
polymorph energy (0 for the lowest one) = 0.10 eV per formula unit

Material: In2FeHg
Method: DFT, PBE-GGA
State: relaxed

Unit cell a=9.4101 b=9.4101 c=9.4101 alpha=19.96 beta=19.96 gamma=19.96
Closest atoms and distances in Å follow each position.
Sites, in units of the cell vectors:
Fe (0.2500, 0.2500, 0.2500)  6 In 2.79
Hg (0.7500, 0.7500, 0.7500)  6 In 3.18, 6 Hg 3.26
In (0.9909, 0.9909, 0.9909)  3 Fe 2.79
In (0.5091, 0.5091, 0.5091)  3 Fe 2.79

Summary:
space group = R-3m (166)
DFT formation energy = 1.12 eV/f.u.
calculated density = 9.50 g/cm³
M_tot = 2.67 μB/f.u.

M_tot of number 3 (CoBr)?
2.00 μB/f.u.